Record 1
DFT (PBE-GGA) results for a relaxed structure of SrGa2Ru2.

Summary:
- symmetry = Fddd
- total DFT energy (no corrections) (eV/atom) = -5.46
- E_form (eV/atom) = -0.21

Cell: 8.3690 7.0820 6.1609 Å, 78.05 55.88 46.07°
Last column: nearest neighbours and their distance in Å.
Fractional coordinates of all 10 atoms:
1 Sr 0.1250 0.1250 0.1250  6 Ga 3.25-3.58, 8 Ru 3.30-3.59
2 Sr 0.8750 0.8750 0.8750  6 Ga 3.25-3.58, 8 Ru 3.30-3.59
3 Ga 0.1767 0.5733 0.1767  4 Ru 2.45-2.53
4 Ga 0.4267 0.8233 0.4267  4 Ru 2.45-2.53
5 Ga 0.5733 0.1767 0.5733  4 Ru 2.45-2.53
6 Ga 0.8233 0.4267 0.8233  4 Ru 2.45-2.53
7 Ru 0.2690 0.2690 0.4810  4 Ga 2.45-2.53, 1 Ru 2.72
8 Ru 0.4810 0.4810 0.2690  4 Ga 2.45-2.53, 1 Ru 2.72
9 Ru 0.5190 0.5190 0.7310  4 Ga 2.45-2.53, 1 Ru 2.72
10 Ru 0.7310 0.7310 0.5190  4 Ga 2.45-2.53, 1 Ru 2.72


Record 2
DFT (PBE-GGA) results for a relaxed structure of SrGa2Tc2.

Summary:
- symmetry = P4/mbm
- total DFT energy (no corrections) (eV/atom) = -5.62
- E_form (eV/atom) = 0.08
- polymorph energy (0 for the lowest one) (meV per atom) = 90.8

Cell: 7.9340 7.9340 2.9283 Å, 90.00 90.00 90.00°
Last column: nearest neighbours and their distance in Å.
Fractional coordinates of all 10 atoms:
1 Sr 0.0000 0.0000 0.0000  2 Sr 2.93, 4 Tc 3.24, 8 Ga 3.27
2 Sr 0.5000 0.5000 0.0000  2 Sr 2.93, 4 Tc 3.24, 8 Ga 3.27
3 Ga 0.1780 0.3220 0.5000  6 Tc 2.75-2.83, 2 Ga 2.93
4 Ga 0.3220 0.8220 0.5000  6 Tc 2.75-2.83, 2 Ga 2.93
5 Ga 0.6780 0.1780 0.5000  6 Tc 2.75-2.83, 2 Ga 2.93
6 Ga 0.8220 0.6780 0.5000  6 Tc 2.75-2.83, 2 Ga 2.93
7 Tc 0.1057 0.6057 0.0000  1 Tc 2.37
8 Tc 0.3943 0.1057 0.0000  1 Tc 2.37
9 Tc 0.6057 0.8943 0.0000  1 Tc 2.37
10 Tc 0.8943 0.3943 0.0000  1 Tc 2.37


Record 3
DFT (PBE-GGA) results for a relaxed structure of CaGeAsBr2.

Summary:
- symmetry = P4/mmm
- total DFT energy (no corrections) (eV/atom) = -2.92
- energy relative to the elements, uncorrected (eV per formula unit) = 0.0
- polymorph energy (0 for the lowest one) (meV per atom) = 424.1

Cell: 5.3257 5.3257 6.9961 Å, 90.00 90.00 90.00°
Last column: nearest neighbours and their distance in Å.
Fractional coordinates of all 5 atoms:
1 Ca 0.0000 0.0000 0.0000  4 Br 2.66
2 Ge 0.0000 0.0000 0.5000  2 Ca 3.50, 4 As 3.77
3 As 0.5000 0.5000 0.5000  4 Ge 3.77
4 Br 0.0000 0.5000 0.0000  2 Ca 2.66
5 Br 0.5000 0.0000 0.0000  2 Ca 2.66